Hf3UN4: optimized geometry, PBE-GGA. Values from VASP.

Calculated values
Its calculated total energy is -0.39544 Ha/atom.

The structure in Quantum ESPRESSO input format:
```
&SYSTEM
  ibrav = 0, nat = 16, ntyp = 3
/
ATOMIC_SPECIES
Hf 178.49 Hf.upf
U 238.03 U.upf
N 14.01 N.upf
ATOMIC_POSITIONS angstrom
Hf 1.1547 0.0075 1.1107
Hf 1.1547 3.8193 1.1107
Hf 1.1547 5.7402 4.4407
Hf 3.4642 1.9134 2.1059
Hf 3.4642 3.8344 5.4360
Hf 3.4642 7.6461 5.4360
U 1.1547 1.9134 4.2766
U 3.4642 5.7402 2.2700
N 1.1547 0.0047 5.5104
N 1.1547 1.9134 2.0224
N 1.1547 3.8221 5.5104
N 1.1547 5.7402 2.1818
N 3.4642 1.9134 4.3648
N 3.4642 3.8316 1.0362
N 3.4642 5.7402 4.5242
N 3.4642 7.6489 1.0362
CELL_PARAMETERS angstrom
4.6190 0.0000 0.0000
0.0000 7.6537 0.0000
0.0000 0.0000 6.5466
```



Hf3U5N8: optimized geometry, PBE-GGA. Values from VASP.

Calculated values
Its calculated total energy is -0.40690 Ha/atom.

The structure in Quantum ESPRESSO input format:
```
&SYSTEM
  ibrav = 0, nat = 16, ntyp = 3
/
ATOMIC_SPECIES
Hf 178.49 Hf.upf
U 238.03 U.upf
N 14.01 N.upf
ATOMIC_POSITIONS angstrom
Hf -1.6585 -0.9576 5.5780
Hf -1.6585 0.9576 11.1560
Hf 0.0000 1.9151 5.5780
U 0.0000 0.0000 0.0000
U -3.3171 0.0000 8.3670
U -1.6585 0.9576 2.7890
U 1.6585 0.9576 2.7890
U 0.0000 0.0000 8.3670
N 0.0000 -1.8472 6.8507
N -1.5997 0.9236 6.8507
N 0.0000 0.0000 4.3051
N -1.5997 -0.9236 9.8833
N 1.5997 0.9236 6.8507
N 0.0000 0.0000 12.4289
N 1.5997 -0.9236 9.8833
N 0.0000 1.8472 9.8833
CELL_PARAMETERS angstrom
3.3171 1.9151 5.5780
-3.3171 1.9151 5.5780
0.0000 -3.8302 5.5780
```



Hf2UN: optimized geometry, PBE-GGA. Values from VASP.

Calculated values
Its calculated total energy is -0.38151 Ha/atom.

The structure in Quantum ESPRESSO input format:
```
&SYSTEM
  ibrav = 0, nat = 12, ntyp = 3
/
ATOMIC_SPECIES
Hf 178.49 Hf.upf
U 238.03 U.upf
N 14.01 N.upf
ATOMIC_POSITIONS angstrom
Hf 0.0000 0.0000 3.0686
Hf 0.0000 0.0000 23.1078
Hf 0.0000 1.8017 14.3823
Hf 0.0000 1.8017 20.5195
Hf 1.5603 0.9009 5.6569
Hf 1.5603 0.9009 11.7941
U 0.0000 0.0000 0.0000
U 0.0000 1.8017 17.4510
U 1.5603 0.9009 8.7255
N 0.0000 0.0000 13.0882
N 0.0000 1.8017 4.3627
N 1.5603 0.9009 21.8137
CELL_PARAMETERS angstrom
3.1207 0.0000 0.0000
-1.5603 2.7026 0.0000
0.0000 0.0000 26.1764
```



HfU6N12: optimized geometry, PBE-GGA. Values from VASP.

Calculated values
Its calculated total energy is -0.39607 Ha/atom.

The structure in Quantum ESPRESSO input format:
```
&SYSTEM
  ibrav = 0, nat = 19, ntyp = 3
/
ATOMIC_SPECIES
Hf 178.49 Hf.upf
U 238.03 U.upf
N 14.01 N.upf
ATOMIC_POSITIONS angstrom
Hf 0.0000 0.0000 0.0000
U -2.2825 0.4333 3.1123
U 0.7660 -2.1933 3.1123
U -1.5165 -1.7601 6.0320
U 1.5165 1.7601 3.1123
U -0.7660 2.1933 6.0320
U 2.2825 -0.4333 6.0320
N -4.2727 1.0077 4.0178
N -3.0091 -3.1964 5.1265
N -1.2813 -1.6508 3.6759
N 1.2636 -4.2041 4.0178
N -2.0703 0.2843 5.4684
N -0.7889 1.9350 3.6759
N 0.7890 -1.9350 5.4684
N 2.0703 -0.2843 3.6759
N -1.2636 4.2041 5.1265
N 1.2813 1.6508 5.4684
N 3.0091 3.1964 4.0178
N 4.2727 -1.0077 5.1265
CELL_PARAMETERS angstrom
4.9374 2.8506 3.0481
-4.9374 2.8506 3.0481
0.0000 -5.7012 3.0481
```



HfU4N5: optimized geometry, PBE-GGA. Values from VASP.

Calculated values
Its calculated total energy is -0.40711 Ha/atom.

The structure in Quantum ESPRESSO input format:
```
&SYSTEM
  ibrav = 0, nat = 10, ntyp = 3
/
ATOMIC_SPECIES
Hf 178.49 Hf.upf
U 238.03 U.upf
N 14.01 N.upf
ATOMIC_POSITIONS angstrom
Hf 0.0000 0.0000 0.0000
U 3.0364 1.5131 0.0000
U 2.2827 -0.7594 2.3995
U 1.5131 4.5552 0.0000
U 0.7594 2.2827 2.3995
N 5.4135 0.7343 0.0000
N 0.7343 2.1781 0.0000
N 0.0000 0.0000 2.3995
N 3.0615 1.6177 2.3995
N -1.6177 3.0615 2.3995
CELL_PARAMETERS angstrom
-3.7958 3.7958 2.3995
3.7958 -3.7958 2.3995
3.7958 3.7958 -2.3995
```



Y2HfUN4: optimized geometry, PBE-GGA. Values from VASP.

Calculated values
Its calculated total energy is -0.37003 Ha/atom.

The structure in Quantum ESPRESSO input format:
```
&SYSTEM
  ibrav = 0, nat = 8, ntyp = 4
/
ATOMIC_SPECIES
Y 88.91 Y.upf
Hf 178.49 Hf.upf
U 238.03 U.upf
N 14.01 N.upf
ATOMIC_POSITIONS angstrom
Y 0.0000 0.0000 0.0000
Y 2.9241 1.6897 0.0000
Hf -0.9531 1.6897 2.7869
U 1.9711 0.0000 2.7869
N 0.0289 0.0000 4.0222
N 0.9457 1.6897 1.5104
N 2.9964 1.6897 4.0634
N 3.9132 0.0000 1.5517
CELL_PARAMETERS angstrom
5.8483 0.0000 0.0000
0.0000 3.3793 0.0000
-1.9062 0.0000 5.5738
```